Material: Li2Tl2Cd3
Method: DFT, PBE
State: optimized geometry

Results
Total energy, eV per cell: -24.18
ΔE to the lowest computed polymorph, eV per atom: 0.000
E_form, eV/atom: -0.11
DOS at the Fermi energy, states/eV per atom: 0.337

Cell: 8.5755 5.0970 8.0559 Å, 90.00 115.15 90.00°
Space group C2/m (No. 12)
Asymmetric unit:
Li (0.2329, 0.0000, 0.1692) x4
Tl (0.0771, 0.0000, 0.7584) x4
Cd (0.0000, 0.5000, 0.0000) x2
Cd (0.1455, 0.5000, 0.4239) x4